1.
DFT (GGA-PBE) results for an optimized crystal structure of NbMoRu2.

**Energy of formation from the pure elements**: 0.646 eV per atom
**Symmetry**: I-42d, No. 122
**Relative energy among the computed polymorphs**: 670.9 meV per atom
**Crystal system**: tetragonal
**Volume**: 68.2 Å³/f.u.

```
16
Lattice="3.952 0.000 0.000 0.000 3.952 0.000 0.000 0.000 17.480" Properties=species:S:1:pos:R:3 pbc="T T T"
Nb 0.000 0.000 0.000
Nb 0.000 1.976 4.370
Nb 1.976 0.000 13.110
Nb 1.976 1.976 8.740
Mo 0.000 0.000 8.740
Mo 0.000 1.976 13.110
Mo 1.976 0.000 4.370
Mo 1.976 1.976 0.000
Ru 0.927 0.988 10.925
Ru 0.988 2.903 15.295
Ru 0.988 3.024 6.555
Ru 1.048 0.988 2.185
Ru 2.903 2.964 2.185
Ru 2.964 0.927 6.555
Ru 2.964 1.048 15.295
Ru 3.024 2.964 10.925
```

***

2.
DFT (GGA-PBE) results for an optimized crystal structure of Tb3Dy5Th3.

**Energy of formation from the pure elements**: 0.917 eV per atom
**Symmetry**: P-62m, No. 189
**Relative energy among the computed polymorphs**: 530.7 meV per atom
**Crystal system**: hexagonal
**Volume**: 455.4 Å³/f.u.

```
11
Lattice="9.777 0.000 0.000 -4.889 8.467 0.000 0.000 0.000 5.501" Properties=species:S:1:pos:R:3 pbc="T T T"
Tb -2.250 3.896 0.000
Tb 4.499 0.000 0.000
Tb 2.639 4.571 0.000
Dy -1.328 2.301 2.750
Dy 2.656 0.000 2.750
Dy 0.000 5.645 2.750
Dy 4.889 2.822 2.750
Dy 3.560 6.167 2.750
Th -3.090 5.352 2.750
Th 1.799 3.115 2.750
Th 6.180 0.000 2.750
```

***

3.
DFT (GGA-PBE) results for an optimized crystal structure of PmTlGe.

**Energy of formation from the pure elements**: -0.219 eV per atom
**Symmetry**: F-43m, No. 216
**Relative energy among the computed polymorphs**: 292.5 meV per atom
**Crystal system**: cubic
**Volume**: 85.4 Å³/f.u.

```
12
Lattice="6.991 0.000 0.000 0.000 6.991 0.000 0.000 0.000 6.991" Properties=species:S:1:pos:R:3 pbc="T T T"
Pm 0.000 0.000 0.000
Pm 0.000 3.495 3.495
Pm 3.495 0.000 3.495
Pm 3.495 3.495 0.000
Tl 0.000 0.000 3.495
Tl 0.000 3.495 0.000
Tl 3.495 0.000 0.000
Tl 3.495 3.495 3.495
Ge 1.748 1.748 1.748
Ge 1.748 5.243 5.243
Ge 5.243 1.748 5.243
Ge 5.243 5.243 1.748
```

***

4.
DFT (GGA-PBE) results for an optimized crystal structure of BeHg2Te.

**Symmetry**: Fm-3m, No. 225
**Relative energy among the computed polymorphs**: 689.4 meV per atom
**Crystal system**: cubic
**Volume**: 96.5 Å³/f.u.

```
16
Lattice="7.280 0.000 0.000 0.000 7.280 0.000 0.000 0.000 7.280" Properties=species:S:1:pos:R:3 pbc="T T T"
Be 0.000 0.000 0.000
Be 0.000 3.640 3.640
Be 3.640 0.000 3.640
Be 3.640 3.640 0.000
Hg 1.820 1.820 1.820
Hg 1.820 1.820 5.460
Hg 1.820 5.460 1.820
Hg 1.820 5.460 5.460
Hg 5.460 1.820 1.820
Hg 5.460 1.820 5.460
Hg 5.460 5.460 1.820
Hg 5.460 5.460 5.460
Te 0.000 0.000 3.640
Te 0.000 3.640 0.000
Te 3.640 0.000 0.000
Te 3.640 3.640 3.640
```

***

5.
DFT (GGA-PBE) results for an optimized crystal structure of SrLa2CoAg.

**Energy of formation from the pure elements**: -0.030 eV per atom
**Symmetry**: P4/mmm, No. 123
**Relative energy among the computed polymorphs**: 0.0 meV per atom
**Crystal system**: tetragonal
**Volume**: 160.3 Å³/f.u.

```
5
Lattice="5.181 0.000 0.000 0.000 5.181 0.000 0.000 0.000 5.972" Properties=species:S:1:pos:R:3 pbc="T T T"
Sr 0.000 0.000 0.000
La 0.000 2.591 2.986
La 2.591 0.000 2.986
Co 0.000 0.000 2.986
Ag 2.591 2.591 0.000
```

***

6.
DFT (GGA-PBE) results for an optimized crystal structure of Er2Sc3Pd4.

**Energy of formation from the pure elements**: -0.749 eV per atom
**Symmetry**: Cmce, No. 64
**Relative energy among the computed polymorphs**: 75.4 meV per atom
**Crystal system**: orthorhombic
**Volume**: 188.3 Å³/f.u.

```
18
Lattice="3.101 -8.403 0.000 3.101 8.403 0.000 0.000 0.000 7.227" Properties=species:S:1:pos:R:3 pbc="T T T"
Er 3.101 6.775 6.586
Er 3.101 1.628 2.973
Er 3.101 -1.628 4.255
Er 3.101 -6.775 0.641
Sc 0.000 0.000 3.614
Sc 1.550 3.913 5.421
Sc 1.550 -3.913 1.807
Sc 3.101 0.000 0.000
Sc 4.651 3.913 5.421
Sc 4.651 -3.913 1.807
Pd 3.101 5.591 3.864
Pd 1.550 1.149 5.421
Pd 1.550 -1.149 1.807
Pd 3.101 2.812 0.251
Pd 3.101 -2.812 6.977
Pd 4.651 1.149 5.421
Pd 4.651 -1.149 1.807
Pd 3.101 -5.591 3.363
```

***

7.
DFT (GGA-PBE) results for an optimized crystal structure of Dy2Zn12Cu3Ni.

**Energy of formation from the pure elements**: -0.031 eV per atom
**Symmetry**: R-3m, No. 166
**Crystal system**: trigonal
**Volume**: 310.6 Å³/f.u.

```
18
Lattice="2.840 1.640 11.114 -2.840 1.640 11.114 0.000 -3.280 11.114" Properties=species:S:1:pos:R:3 pbc="T T T"
Dy 0.000 0.000 4.695
Dy 0.000 0.000 28.647
Zn 0.000 -1.774 9.326
Zn -1.536 0.887 9.326
Zn -1.418 -0.819 14.852
Zn -1.536 -0.887 24.017
Zn 0.000 -1.638 18.491
Zn -1.418 0.819 18.491
Zn 1.418 -0.819 14.852
Zn 0.000 1.638 14.852
Zn 1.536 0.887 9.326
Zn 1.418 0.819 18.491
Zn 1.536 -0.887 24.017
Zn 0.000 1.774 24.017
Cu -1.420 -0.820 11.114
Cu -1.420 0.820 22.228
Cu 0.000 1.640 11.114
Ni 0.000 0.000 16.671
```

***

8.
DFT (GGA-PBE) results for an optimized crystal structure of CuHgCl2.

**Symmetry**: P4mm, No. 99
**Relative energy among the computed polymorphs**: 303.3 meV per atom
**Crystal system**: tetragonal
**Volume**: 91.1 Å³/f.u.

```
4
Lattice="3.311 0.000 0.000 0.000 3.311 0.000 0.000 0.000 8.308" Properties=species:S:1:pos:R:3 pbc="T T T"
Cu 0.000 0.000 0.000
Hg 1.655 1.655 1.898
Cl 0.000 0.000 3.561
Cl 1.655 1.655 7.148
```

***

Listing M_tot for the structures above in their given order: 0.00, 0.00, 0.00, 0.00, 0.00, 0.00, 0.00, 0.00 μB per formula unit.
Listing total energy for the structures above in their given order: -9.22, -4.46, -4.13, -1.21, -4.33, -6.18, -2.40, -2.09 eV per atom.
Listing ρ for the structures above in their given order: 9.5, 7.2, 8.2, 9.3, 5.5, 7.9, 7.3, 6.1 Mg/m³.